Entry 1:
{"formula": "Sm7Tl5Zn", "functional": "PBE", "state": "relaxed", "lattice_angstrom": [[-0.341, 3.030, 6.063], [-6.925, -1.808, 4.312], [3.251, -4.512, 6.236]], "species": ["Sm", "Sm", "Sm", "Sm", "Sm", "Sm", "Sm", "Tl", "Tl", "Tl", "Tl", "Tl", "Zn"], "frac_coords": [[0.615, 0.385, 0.385], [0.245, 0.755, 0.755], [0.009, 0.300, 0.682], [0.009, 0.682, 0.300], [0.280, 0.220, 0.220], [0.526, 0.800, 0.147], [0.526, 0.147, 0.800], [0.524, 0.999, 0.471], [0.006, 0.999, 0.471], [0.524, 0.471, 0.999], [0.006, 0.471, 0.999], [0.775, 0.725, 0.725], [0.955, 0.045, 0.045]], "vol_a3_per_atom": 30.427, "formation_energy_ev_per_atom": -0.1347}

=====

Entry 2:
{"formula": "Ta2V", "functional": "PBE", "state": "relaxed", "lattice_angstrom": [[-3.715, -3.606, 0.814], [3.895, -2.023, 8.814], [-5.750, 6.853, 4.114]], "species": ["Ta", "Ta", "Ta", "Ta", "Ta", "Ta", "Ta", "Ta", "Ta", "Ta", "Ta", "Ta", "Ta", "Ta", "Ta", "Ta", "Ta", "Ta", "Ta", "Ta", "V", "V", "V", "V", "V", "V", "V", "V", "V", "V"], "frac_coords": [[0.500, 0.896, 0.104], [0.500, 0.104, 0.896], [0.000, 0.396, 0.396], [0.000, 0.604, 0.604], [0.500, 0.966, 0.372], [0.500, 0.034, 0.628], [0.000, 0.466, 0.128], [0.000, 0.534, 0.872], [0.500, 0.372, 0.966], [0.500, 0.628, 0.034], [0.000, 0.128, 0.466], [0.000, 0.872, 0.534], [0.250, 0.683, 0.317], [0.250, 0.317, 0.683], [0.750, 0.183, 0.183], [0.750, 0.817, 0.817], [0.750, 0.317, 0.683], [0.750, 0.683, 0.317], [0.250, 0.817, 0.817], [0.250, 0.183, 0.183], [0.500, 0.500, 0.500], [0.000, 0.000, 0.000], [0.500, 0.248, 0.433], [0.500, 0.752, 0.567], [0.000, 0.748, 0.067], [0.000, 0.252, 0.933], [0.500, 0.433, 0.248], [0.500, 0.567, 0.752], [0.000, 0.067, 0.748], [0.000, 0.933, 0.252]], "vol_a3_per_atom": 16.935, "formation_energy_ev_per_atom": -0.0204}

=====

Entry 3:
{"formula": "Ba4MgIn", "functional": "PBE", "state": "relaxed", "lattice_angstrom": [[-1.327, 0.616, 4.097], [-4.081, -0.938, -1.181], [2.529, -14.857, 3.055]], "species": ["Ba", "Ba", "Ba", "Ba", "Mg", "In"], "frac_coords": [[0.500, 0.500, 0.862], [0.500, 0.500, 0.138], [0.000, 0.000, 0.631], [0.000, 0.000, 0.369], [0.000, 0.000, 0.000], [0.500, 0.500, 0.500]], "vol_a3_per_atom": 48.512, "formation_energy_ev_per_atom": -0.1742}

=====

Entry 4:
{"formula": "Ca3SmPa2P6", "functional": "PBE", "state": "relaxed", "lattice_angstrom": [[7.079, 0.000, 0.000], [-3.538, 6.132, 0.000], [-1.182, -2.046, 6.636]], "species": ["Ca", "Ca", "Ca", "Sm", "Pa", "Pa", "P", "P", "P", "P", "P", "P"], "frac_coords": [[0.164, 0.836, 0.500], [0.836, 0.164, 0.500], [0.500, 0.500, 0.500], [0.000, 0.000, 0.000], [0.333, 0.667, 0.000], [0.667, 0.333, 0.000], [0.923, 0.577, 0.769], [0.732, 0.732, 0.232], [0.077, 0.423, 0.231], [0.577, 0.923, 0.769], [0.268, 0.268, 0.768], [0.423, 0.077, 0.231]], "vol_a3_per_atom": 24.005, "formation_energy_ev_per_atom": -1.3165}

=====

Entry 5:
{"formula": "Tb2YEr2Tm4", "functional": "PBE", "state": "relaxed", "lattice_angstrom": [[-0.151, -1.564, 3.184], [4.910, -6.359, -4.869], [5.063, 7.034, 3.693]], "species": ["Tb", "Tb", "Y", "Er", "Er", "Tm", "Tm", "Tm", "Tm"], "frac_coords": [[0.852, 0.704, 0.334], [0.148, 0.296, 0.666], [0.000, 0.000, 0.000], [0.333, 0.666, 0.999], [0.667, 0.334, 0.001], [0.815, 0.629, 0.665], [0.185, 0.371, 0.335], [0.519, 0.038, 0.335], [0.481, 0.962, 0.665]], "vol_a3_per_atom": 30.865, "formation_energy_ev_per_atom": 0.0085}

=====

Entry 6:
{"formula": "MgTlInF6", "functional": "PBE", "state": "relaxed", "lattice_angstrom": [[7.472, 0.000, 0.000], [0.000, 7.876, 0.000], [-3.736, -3.938, 5.402]], "species": ["Mg", "Mg", "Tl", "Tl", "In", "In", "F", "F", "F", "F", "F", "F", "F", "F", "F", "F", "F", "F"], "frac_coords": [[0.500, 0.000, 0.500], [0.000, 0.000, 0.500], [0.958, 0.708, 0.915], [0.042, 0.292, 0.085], [0.500, 0.500, 0.000], [0.500, 0.000, 0.000], [0.422, 0.672, 0.843], [0.803, 0.053, 0.606], [0.827, 0.048, 0.237], [0.409, 0.689, 0.237], [0.409, 0.048, 0.237], [0.827, 0.689, 0.237], [0.578, 0.328, 0.157], [0.197, 0.947, 0.394], [0.173, 0.952, 0.763], [0.591, 0.311, 0.763], [0.591, 0.952, 0.763], [0.173, 0.311, 0.763]], "formation_energy_uncorrected_ev_per_atom": -2.7232, "vol_a3_per_atom": 17.663}

=====

Entry 7:
{"formula": "ScRh2", "functional": "PBE", "state": "relaxed", "lattice_angstrom": [[-3.850, -0.077, -0.567], [0.232, -3.735, -1.069], [0.123, -1.610, 12.740]], "species": ["Rh", "Rh", "Rh", "Rh", "Rh", "Rh", "Rh", "Rh", "Sc", "Sc", "Sc", "Sc"], "frac_coords": [[0.250, 0.250, 0.501], [0.750, 0.750, 0.499], [0.500, 0.000, 0.001], [0.000, 0.500, 0.999], [0.417, 0.417, 0.834], [0.583, 0.583, 0.166], [0.667, 0.167, 0.334], [0.833, 0.333, 0.666], [0.076, 0.076, 0.151], [0.924, 0.924, 0.849], [0.326, 0.826, 0.651], [0.174, 0.674, 0.349]], "vol_a3_per_atom": 15.836, "formation_energy_ev_per_atom": -0.6910}

=====

Entry 8:
{"formula": "BiRu", "functional": "PBE", "state": "relaxed", "lattice_angstrom": [[3.181, 0.000, 0.000], [0.000, 3.181, 0.000], [0.000, 0.000, 8.888]], "species": ["Bi", "Bi", "Ru", "Ru"], "frac_coords": [[0.000, 0.500, 0.792], [0.500, 0.000, 0.208], [0.000, 0.500, 0.407], [0.500, 0.000, 0.593]], "vol_a3_per_atom": 22.487, "formation_energy_ev_per_atom": 0.3110}

=====

Entry 9:
{"formula": "La4PmSm2Th", "functional": "PBE", "state": "relaxed", "lattice_angstrom": [[-1.355, -1.633, -2.991], [-1.589, -5.077, 3.493], [-11.267, 3.217, 3.349]], "species": ["La", "La", "La", "La", "Pm", "Sm", "Sm", "Th"], "frac_coords": [[0.000, 0.747, 0.748], [0.000, 0.253, 0.252], [0.500, 0.744, 0.255], [0.500, 0.256, 0.745], [0.500, 0.500, 0.000], [0.000, 0.000, 0.000], [0.500, 0.000, 0.500], [0.000, 0.500, 0.500]], "vol_a3_per_atom": 35.026, "formation_energy_ev_per_atom": 0.0320}

=====

Entry 10:
{"formula": "SrCaS2O8", "functional": "PBE", "state": "relaxed", "lattice_angstrom": [[5.323, 0.000, 0.000], [-2.661, 4.610, 0.000], [0.000, 0.000, 7.493]], "species": ["Sr", "Ca", "S", "S", "O", "O", "O", "O", "O", "O", "O", "O"], "frac_coords": [[0.000, 0.000, 0.000], [0.000, 0.000, 0.500], [0.667, 0.333, 0.216], [0.333, 0.667, 0.784], [0.333, 0.667, 0.981], [0.362, 0.183, 0.283], [0.817, 0.179, 0.283], [0.667, 0.333, 0.019], [0.183, 0.821, 0.717], [0.638, 0.817, 0.717], [0.179, 0.362, 0.717], [0.821, 0.638, 0.283]], "formation_energy_uncorrected_ev_per_atom": -2.1859, "vol_a3_per_atom": 15.322}

=====

Entry 11:
{"formula": "La2NpNiS5", "functional": "PBE", "state": "relaxed", "lattice_angstrom": [[3.924, 0.000, 0.000], [-1.962, 8.263, 0.000], [0.000, 0.000, 12.103]], "species": ["La", "La", "La", "La", "Np", "Np", "Ni", "Ni", "S", "S", "S", "S", "S", "S", "S", "S", "S", "S"], "frac_coords": [[0.884, 0.769, 0.847], [0.117, 0.234, 0.698], [0.116, 0.231, 0.347], [0.883, 0.766, 0.198], [0.821, 0.642, 0.526], [0.179, 0.358, 0.026], [0.555, 0.110, 0.920], [0.445, 0.890, 0.420], [0.344, 0.689, 0.022], [0.687, 0.374, 0.869], [0.495, 0.991, 0.753], [0.303, 0.606, 0.684], [0.979, 0.957, 0.505], [0.656, 0.311, 0.522], [0.313, 0.626, 0.369], [0.505, 0.009, 0.253], [0.697, 0.394, 0.184], [0.021, 0.043, 0.005]], "formation_energy_uncorrected_ev_per_atom": -1.6524, "vol_a3_per_atom": 21.801}

=====

Entry 12:
{"formula": "LiLa2Pt2O6", "functional": "PBE", "state": "relaxed", "lattice_angstrom": [[5.886, 0.000, 0.000], [2.943, 5.097, 0.000], [2.943, 1.699, 5.312]], "species": ["Li", "La", "La", "Pt", "Pt", "O", "O", "O", "O", "O", "O"], "frac_coords": [[0.000, 0.000, 0.000], [0.786, 0.786, 0.642], [0.214, 0.214, 0.358], [0.409, 0.409, 0.773], [0.591, 0.591, 0.227], [0.765, 0.765, 0.277], [0.194, 0.765, 0.277], [0.765, 0.194, 0.277], [0.235, 0.806, 0.723], [0.806, 0.235, 0.723], [0.235, 0.235, 0.723]], "formation_energy_uncorrected_ev_per_atom": -1.5026, "vol_a3_per_atom": 14.488}

=====

- What is the formula in the second record?
  Ta2V